A plane-wave DFT calculation with PBE-GGA was carried out for crystalline MnCr2Fe2 at its relaxed geometry.

a = 6.591 Å, b = 6.591 Å, c = 2.592 Å
α = 90.00°, β = 90.00°, γ = 90.00°
Fractional positions:
Cr  0.669  0.831  0.500
Cr  0.331  0.169  0.500
Cr  0.169  0.669  0.500
Cr  0.831  0.331  0.500
Fe  0.868  0.632  0.000
Fe  0.132  0.368  0.000
Fe  0.368  0.868  0.000
Fe  0.632  0.132  0.000
Mn  0.500  0.500  0.000
Mn  0.000  0.000  0.000

Computed properties:
The formation energy from the elements is 1.4 eV/f.u.